Record 1
GePdO2F after structural relaxation. Source: Alexandria, functional PBE.

Summary:
- raw formation energy (eV/atom) = -0.764
- raw total energy (eV per atom) = -5.08

Lattice parameters (Å, degrees): 3.789 3.789 3.952 90.00 90.00 90.00
Space group P4/mmm (No. 123)
Inequivalent atoms, fractional coordinates:
Ge 0.000 0.000 0.000
Pd 0.500 0.500 0.500
O 0.000 0.500 0.000
F 0.000 0.000 0.500

=====

Record 2
GePdO2F after structural relaxation. Source: Alexandria, functional PBE.

Summary:
- raw formation energy (eV/atom) = -0.402
- raw total energy (eV per atom) = -4.72

Lattice parameters (Å, degrees): 4.047 4.047 4.054 90.00 90.00 90.00
Space group P4/mmm (No. 123)
Inequivalent atoms, fractional coordinates:
Ge 0.000 0.000 0.000
Pd 0.500 0.500 0.500
O 0.000 0.500 0.500
F 0.500 0.500 0.000

=====

Record 3
GePtOF2 after structural relaxation. Source: Alexandria, functional PBE.

Summary:
- raw formation energy (eV/atom) = -0.434
- raw total energy (eV per atom) = -4.31

Lattice parameters (Å, degrees): 4.371 4.371 3.961 90.00 90.00 90.00
Space group P4/mmm (No. 123)
Inequivalent atoms, fractional coordinates:
Ge 0.000 0.000 0.000
Pt 0.500 0.500 0.500
O 0.500 0.500 0.000
F 0.000 0.500 0.500

=====

Record 4
GePtOF2 after structural relaxation. Source: Alexandria, functional PBE.

Summary:
- raw formation energy (eV/atom) = -0.532
- raw total energy (eV per atom) = -4.40

Lattice parameters (Å, degrees): 4.181 4.181 3.773 90.00 90.00 90.00
Space group P4/mmm (No. 123)
Inequivalent atoms, fractional coordinates:
Ge 0.000 0.000 0.000
Pt 0.500 0.500 0.500
O 0.000 0.000 0.500
F 0.000 0.500 0.000

=====

Record 5
Rb2GeOF6 after structural relaxation. Source: Alexandria, functional PBE.

Summary:
- raw formation energy (eV/atom) = -2.176
- raw total energy (eV per atom) = -4.45

Lattice parameters (Å, degrees): 6.165 6.165 9.387 90.00 90.00 90.00
Space group I4/mmm (No. 139)
Inequivalent atoms, fractional coordinates:
Rb 0.000 0.500 0.250
Ge 0.000 0.000 0.000
O 0.000 0.000 0.500
F 0.000 0.000 0.195
F 0.210 0.210 0.000

=====

Record 6
Rb2GeOF after structural relaxation. Source: Alexandria, functional PBE.

Summary:
- raw formation energy (eV/atom) = -1.179
- raw total energy (eV per atom) = -3.86

Lattice parameters (Å, degrees): 5.836 5.836 4.049 90.00 90.00 90.00
Space group P4/mmm (No. 123)
Inequivalent atoms, fractional coordinates:
Rb 0.000 0.500 0.000
Ge 0.000 0.000 0.500
O 0.000 0.000 0.000
F 0.500 0.500 0.500

=====

Record 7
Rb5GeO4F2 after structural relaxation. Source: Alexandria, functional PBE.

Summary:
- raw formation energy (eV/atom) = -1.854
- raw total energy (eV per atom) = -4.61

Lattice parameters (Å, degrees): 7.961 10.448 6.671 90.00 90.00 90.00
Space group Amm2 (No. 38)
Inequivalent atoms, fractional coordinates:
Rb 0.000 0.000 0.000
Rb 0.265 0.184 0.484
Ge 0.500 0.000 0.987
O 0.324 0.000 0.155
O 0.500 0.135 0.824
F 0.000 0.212 0.749

=====

Record 8
ReGeO2F after structural relaxation. Source: Alexandria, functional PBE.

Summary:
- raw formation energy (eV/atom) = 0.006
- raw total energy (eV per atom) = -5.76

Lattice parameters (Å, degrees): 3.964 3.964 4.112 90.00 90.00 90.00
Space group P4/mmm (No. 123)
Inequivalent atoms, fractional coordinates:
Re 0.000 0.000 0.000
Ge 0.500 0.500 0.500
O 0.000 0.500 0.500
F 0.500 0.500 0.000

=====

> What is the raw total energy in the fifth record?

-4.45 eV per atom

=====

> Look up the raw total energy of the first one.

-5.08 eV per atom